## LiU2Sb4 (GGA-PBE)

Data for crystalline LiU2Sb4 at its relaxed geometry.

Uncorrected energy, eV per atom: -6.121
Space-group type: P-4m2 (115)
DOS(E_F), states/eV per cell: 14.3

POSCAR file:
```
LiU2Sb4
1.0
4.306 0.000 0.000
0.000 4.306 0.000
0.000 0.000 9.749
Li U Sb
1 2 4
direct
0.000 0.000 0.000
0.000 0.500 0.749
0.500 0.000 0.251
0.000 0.000 0.500
0.000 0.500 0.162
0.500 0.000 0.838
0.500 0.500 0.500
```